Compound: MnNi2RuO6
Source: the Alexandria database
Functional: PBE+U
Structure: optimized geometry

The space group is P4mm (No. 99) and the conventional cell measures 5.6327, 5.6327 and 4.0333 Å, with angles of 90.00, 90.00 and 90.00 degrees. The distinct sites, in fractional coordinates, are Mn at (0.0000, 0.0000, 0.0000), Ni at (0.0000, 0.5000, 0.2004), Ru at (0.5000, 0.5000, 0.9594), O at (0.0000, 0.0000, 0.5322), O at (0.2610, 0.2610, 0.0841) and O at (0.5000, 0.5000, 0.5336).

The total DFT energy (no corrections) comes out at -5.874 eV/atom. For the total magnetic moment, the calculation gives 9.03 μB per formula unit.